(1)
Material: Sc2FeGeH
Method: DFT, PBE-GGA
State: relaxed

The space group is P4/mmm (No. 123) and the conventional cell measures 4.466, 4.466 and 3.519 Å, with angles of 90.00, 90.00 and 90.00 degrees. Symmetry generates all atoms from Sc at (0.000, 0.500, 0.000), Fe at (0.000, 0.000, 0.500), Ge at (0.500, 0.500, 0.500) and H at (0.000, 0.000, 0.000).

For the total moment, the calculation gives 1.20 μB per cell. As for the total energy: -6.312 eV per atom.

=====

(2)
Material: ScFe2GeH
Method: DFT, PBE-GGA
State: relaxed

The space group is Cmcm (No. 63) and the conventional cell measures 3.365, 10.221 and 7.224 Å, with angles of 90.00, 90.00 and 90.00 degrees. Symmetry generates all atoms from Sc at (0.000, 0.035, 0.250), Fe at (0.000, 0.341, 0.053), Ge at (0.000, 0.244, 0.750) and H at (0.000, 0.500, 0.000).

For the total moment, the calculation gives 13.63 μB per cell. Its polymorph energy (0 for the lowest one) is 0 meV per atom.

=====

(3)
Material: ScFeGeH
Method: DFT, PBE-GGA
State: relaxed

The space group is P4/nmm (No. 129, origin choice 2) and the conventional cell measures 3.720, 3.720 and 7.183 Å, with angles of 90.00, 90.00 and 90.00 degrees. Symmetry generates all atoms from Sc at (0.250, 0.250, 0.145), Fe at (0.250, 0.750, 0.500), Ge at (0.250, 0.250, 0.712) and H at (0.250, 0.750, 0.000).

For the total moment, the calculation gives 3.64 μB per cell. As for the total energy: -6.224 eV per atom.

=====

(4)
Material: ScFeGe2H
Method: DFT, PBE-GGA
State: relaxed

The space group is P4/mmm (No. 123) and the conventional cell measures 4.289, 4.289 and 3.678 Å, with angles of 90.00, 90.00 and 90.00 degrees. Symmetry generates all atoms from Sc at (0.000, 0.000, 0.000), Fe at (0.500, 0.500, 0.000), Ge at (0.000, 0.500, 0.500) and H at (0.500, 0.500, 0.500).

For the total moment, the calculation gives 2.09 μB per cell. As for the total energy: -5.514 eV per atom.

=====

Look up the total moment of the second one. 13.63 μB per cell

=====

Look up the total moment of the first one. 1.20 μB per cell